# La3Tb2Tl4

A relaxed structure of La3Tb2Tl4 (PBE, Alexandria via LeMat-Bulk).

Unit cell a=5.066 b=6.794 c=10.307 alpha=118.08 beta=90.00 gamma=111.89
Positions (direct):
Tb  0.354  0.707  0.686
Tl  0.689  0.379  0.034
La  0.643  0.286  0.689
Tl  0.935  0.869  0.598
La  0.357  0.714  0.311
Tl  0.311  0.621  0.966
Tb  0.646  0.293  0.314
Tl  0.065  0.131  0.402
La  0.000  0.000  0.000

Computed properties:
density of states at the Fermi level: 0.82 states/eV/atom
energy relative to the lowest polymorph listed for this composition: 1.8 kJ per mole of atoms
E_form: -0.309 eV per atom
total magnetization: 0.00 μB per formula unit
space-group type: No. 12
final energy: -4.0320 eV/atom